1.
LiYGe2Pt: relaxed, PBE.

Lattice parameters (Å, degrees): 4.079 4.079 6.131 109.43 109.43 90.00
Element x y z (fractional)
Li 0.250 0.750 0.500
Y 0.000 0.000 0.000
Ge 0.614 0.614 0.228
Ge 0.386 0.386 0.772
Pt 0.750 0.250 0.500

The formation energy comes out at -0.8215 eV per atom. For the calculated volume, the calculation gives 18.00 Å³ per atom.


2.
La2DyAgS5: relaxed, PBE.

Lattice parameters (Å, degrees): 4.047 8.639 12.209 90.00 90.00 103.54
Element x y z (fractional)
La 0.874 0.748 0.805
La 0.111 0.222 0.684
La 0.126 0.252 0.305
La 0.889 0.778 0.184
Dy 0.805 0.610 0.505
Dy 0.195 0.390 0.005
Ag 0.535 0.070 0.966
Ag 0.465 0.930 0.466
S 0.357 0.715 0.000
S 0.694 0.388 0.849
S 0.498 0.996 0.773
S 0.288 0.576 0.661
S 0.953 0.905 0.580
S 0.643 0.285 0.500
S 0.306 0.612 0.349
S 0.502 0.004 0.273
S 0.712 0.424 0.161
S 0.047 0.095 0.080

As for the formation energy from raw total energies: -1.7854 eV per atom. For the calculated volume, the calculation gives 23.05 Å³ per atom.


3.
Pr2Sm2Y2Er: relaxed, PBE.

Lattice parameters (Å, degrees): 5.748 5.748 8.921 71.21 71.21 60.00
Element x y z (fractional)
Pr 0.139 0.139 0.584
Pr 0.861 0.861 0.416
Sm 0.713 0.713 0.860
Sm 0.287 0.287 0.140
Y 0.572 0.572 0.285
Y 0.428 0.428 0.715
Er 0.000 0.000 0.000

The formation energy comes out at 0.1248 eV per atom. For the calculated volume, the calculation gives 33.85 Å³ per atom.


4.
ZnHPt2Au: relaxed, PBE.

Lattice parameters (Å, degrees): 3.979 3.979 4.170 90.00 90.00 90.00
Element x y z (fractional)
H 0.000 0.000 0.000
Zn 0.000 0.000 0.500
Au 0.500 0.500 0.500
Pt 0.000 0.500 0.000
Pt 0.500 0.000 0.000

The value obtained for the relative energy among the computed polymorphs is 0.000 eV/atom. For the calculated volume, the calculation gives 13.20 Å³ per atom.


5.
Cu3Sb: relaxed, PBE.

Lattice parameters (Å, degrees): 4.879 4.879 4.879 49.52 49.52 49.52
Element x y z (fractional)
Cu 0.780 0.780 0.780
Cu 0.500 0.500 0.500
Cu 0.220 0.220 0.220
Sb 0.000 0.000 0.000

As for the formation energy from raw total energies: 0.1786 eV per atom. For the calculated volume, the calculation gives 15.44 Å³ per atom.


6.
Ti6Pt2O: relaxed, PBE.

Lattice parameters (Å, degrees): 2.929 7.614 7.363 121.13 90.00 90.00
Last column: magnetic moment on the atom in μB.
Element x y z (fractional)
Ti 0.500 0.583 0.000  0.06
Ti 0.500 0.436 0.414  -0.04
Ti 0.500 0.023 0.586  -0.04
Ti 0.000 0.237 0.000  0.32
Ti 0.000 0.816 0.784  -0.16
Ti 0.000 0.032 0.216  -0.16
Pt 0.000 0.346 0.658  0.00
Pt 0.000 0.689 0.342  0.00
O 0.500 0.838 0.000  0.00

As for the formation energy from raw total energies: -0.9173 eV per atom. For the calculated volume, the calculation gives 15.62 Å³ per atom.


7.
GdYNiPt: relaxed, PBE.

Lattice parameters (Å, degrees): 4.908 4.908 4.908 60.00 60.00 60.00
Last column: magnetic moment on the atom in μB.
Element x y z (fractional)
Y 0.750 0.750 0.750  0.03
Ni 0.000 0.000 0.000  0.04
Gd 0.250 0.250 0.250  7.01
Pt 0.500 0.500 0.500  0.01

The formation energy comes out at -0.7668 eV per atom. For the calculated volume, the calculation gives 20.90 Å³ per atom.


8.
Sm3Mg2Sc2: relaxed, PBE.

Lattice parameters (Å, degrees): 5.132 3.413 11.671 90.00 77.30 90.00
Last column: magnetic moment on the atom in μB.
Element x y z (fractional)
Sm 0.846 0.000 0.309  0.02
Sm 0.000 0.000 0.000  0.14
Sm 0.154 0.000 0.691  0.02
Mg 0.573 0.500 0.855  0.00
Mg 0.427 0.500 0.145  0.00
Sc 0.715 0.500 0.570  0.00
Sc 0.285 0.500 0.430  0.00

The formation energy comes out at 0.0179 eV per atom. For the calculated volume, the calculation gives 28.49 Å³ per atom.


9.
TbEuTlAg: relaxed, PBE.

Lattice parameters (Å, degrees): 5.385 5.385 5.385 60.00 60.00 60.00
Last column: magnetic moment on the atom in μB.
Element x y z (fractional)
Eu 0.000 0.000 0.000  6.80
Tl 0.750 0.750 0.750  -0.02
Tb 0.500 0.500 0.500  -0.03
Ag 0.250 0.250 0.250  0.00

The formation energy comes out at -0.3149 eV per atom. For the calculated volume, the calculation gives 27.60 Å³ per atom.


10.
TiNiPbSe3: relaxed, PBE.

Lattice parameters (Å, degrees): 3.715 7.642 9.874 111.46 90.00 90.00
Element x y z (fractional)
Ti 0.250 0.716 0.184
Ti 0.750 0.284 0.816
Ni 0.250 0.086 0.606
Ni 0.750 0.914 0.394
Pb 0.250 0.301 0.291
Pb 0.750 0.699 0.709
Se 0.750 0.935 0.162
Se 0.250 0.065 0.838
Se 0.250 0.751 0.447
Se 0.750 0.249 0.553
Se 0.750 0.440 0.114
Se 0.250 0.560 0.886

As for the formation energy from raw total energies: -0.6986 eV per atom. For the calculated volume, the calculation gives 21.74 Å³ per atom.


11.
PmErPd: relaxed, PBE.

Lattice parameters (Å, degrees): 3.577 3.577 6.645 105.61 105.61 90.00
Element x y z (fractional)
Pm 0.023 0.023 0.046
Pd 0.678 0.678 0.355
Er 0.299 0.299 0.599

The formation energy comes out at -0.5296 eV per atom. The value obtained for the relative energy among the computed polymorphs is 0.000 eV/atom. For the calculated volume, the calculation gives 26.21 Å³ per atom.


12.
SrHf2MgCd: relaxed, PBE.

Lattice parameters (Å, degrees): 5.414 5.242 5.414 90.00 90.00 90.00
Element x y z (fractional)
Sr 0.500 0.500 0.500
Mg 0.000 0.500 0.000
Hf 0.000 0.000 0.500
Hf 0.500 0.000 0.000
Cd 0.000 0.000 0.000

The formation energy comes out at 0.8461 eV per atom. For the calculated volume, the calculation gives 30.73 Å³ per atom.


13.
HoTiFe10: relaxed, PBE.

Lattice parameters (Å, degrees): 3.979 4.832 8.355 90.00 90.00 90.00
Last column: magnetic moment on the atom in μB.
Element x y z (fractional)
Ho 0.000 0.000 0.000  -0.40
Ti 0.000 0.500 0.500  -0.77
Fe 0.000 0.000 0.343  2.01
Fe 0.000 0.500 0.820  2.08
Fe 0.000 0.500 0.180  2.08
Fe 0.000 0.000 0.657  2.01
Fe 0.500 0.000 0.500  1.68
Fe 0.500 0.500 0.000  2.13
Fe 0.500 0.252 0.257  1.92
Fe 0.500 0.748 0.743  1.92
Fe 0.500 0.748 0.257  1.92
Fe 0.500 0.252 0.743  1.92

The formation energy comes out at -0.0078 eV per atom. For the calculated volume, the calculation gives 13.39 Å³ per atom.


14.
CaLaLu2: relaxed, PBE.

Lattice parameters (Å, degrees): 3.666 3.666 10.161 90.00 90.00 90.00
Element x y z (fractional)
Ca 0.500 0.500 0.500
Lu 0.000 0.000 0.763
Lu 0.000 0.000 0.237
La 0.500 0.500 0.000

The formation energy comes out at 0.1066 eV per atom. The value obtained for the relative energy among the computed polymorphs is 0.016 eV/atom. For the calculated volume, the calculation gives 34.14 Å³ per atom.


15.
Sr2RePt: relaxed, PBE.

Lattice parameters (Å, degrees): 5.309 5.309 3.592 90.00 90.00 99.43
Last column: magnetic moment on the atom in μB.
Element x y z (fractional)
Pt 0.500 0.000 0.500  0.07
Re 0.000 0.500 0.500  1.98
Sr 0.000 0.000 0.000  0.01
Sr 0.500 0.500 0.000  0.01

The formation energy comes out at 0.5812 eV per atom. The value obtained for the relative energy among the computed polymorphs is 0.461 eV/atom. For the calculated volume, the calculation gives 24.97 Å³ per atom.


16.
CaSm2Zn4: relaxed, PBE.

Lattice parameters (Å, degrees): 5.023 5.023 8.689 73.20 73.20 60.00
Element x y z (fractional)
Ca 0.000 0.000 0.000
Zn 0.876 0.876 0.373
Zn 0.124 0.124 0.627
Zn 0.619 0.619 0.144
Zn 0.381 0.381 0.856
Sm 0.753 0.753 0.740
Sm 0.247 0.247 0.260

The formation energy comes out at -0.0667 eV per atom. For the calculated volume, the calculation gives 25.57 Å³ per atom.


17.
YMg2Ti: relaxed, PBE.

Lattice parameters (Å, degrees): 8.242 8.242 6.501 50.67 50.67 90.00
Last column: magnetic moment on the atom in μB.
Element x y z (fractional)
Y 0.000 0.000 0.000  0.17
Y 0.750 0.250 0.500  0.17
Mg 0.596 0.125 0.250  0.01
Mg 0.154 0.625 0.250  0.01
Mg 0.375 0.404 0.750  0.01
Mg 0.875 0.846 0.750  0.01
Ti 0.500 0.500 0.000  1.27
Ti 0.250 0.750 0.500  1.26

The formation energy comes out at 0.4705 eV per atom. For the calculated volume, the calculation gives 24.47 Å³ per atom.


18.
Mn5Fe4: relaxed, PBE.

Lattice parameters (Å, degrees): 6.163 6.163 6.163 92.93 92.93 153.87
Last column: magnetic moment on the atom in μB.
Element x y z (fractional)
Mn 0.000 0.000 0.000  1.58
Mn 0.332 0.668 0.000  0.77
Mn 0.668 0.332 0.000  0.77
Mn 0.332 0.332 0.665  0.77
Mn 0.668 0.668 0.335  0.77
Fe 0.000 0.668 0.668  2.20
Fe 0.000 0.332 0.332  2.20
Fe 0.332 0.000 0.332  2.20
Fe 0.668 0.000 0.668  2.20

The formation energy comes out at 0.1100 eV per atom. The value obtained for the relative energy among the computed polymorphs is 0.004 eV/atom. For the calculated volume, the calculation gives 11.16 Å³ per atom.


19.
Sr2CuRhN: relaxed, PBE.

Lattice parameters (Å, degrees): 5.362 5.362 3.833 90.00 90.00 90.00
Element x y z (fractional)
Sr 0.000 0.500 0.000
Sr 0.500 0.000 0.000
Rh 0.000 0.000 0.500
Cu 0.500 0.500 0.500
N 0.000 0.000 0.000

As for the formation energy from raw total energies: -0.3600 eV per atom. For the calculated volume, the calculation gives 22.04 Å³ per atom.


20.
LiCu2Ru: relaxed, PBE.

Lattice parameters (Å, degrees): 2.533 2.533 8.075 90.00 90.00 90.00
Element x y z (fractional)
Cu 0.000 0.000 0.009
Cu 0.500 0.500 0.240
Li 0.000 0.000 0.494
Ru 0.500 0.500 0.757

The formation energy comes out at 0.1588 eV per atom. The value obtained for the relative energy among the computed polymorphs is 0.122 eV/atom. For the calculated volume, the calculation gives 12.95 Å³ per atom.


21.
BaCdInTc2: relaxed, PBE.

Lattice parameters (Å, degrees): 5.212 6.005 5.212 90.00 90.00 90.00
Last column: magnetic moment on the atom in μB.
Element x y z (fractional)
Tc 0.000 0.000 0.500  2.94
Tc 0.500 0.000 0.000  2.36
Cd 0.000 0.000 0.000  -0.03
Ba 0.000 0.500 0.000  -0.13
In 0.500 0.500 0.500  -0.14

The formation energy comes out at 1.5324 eV per atom. For the calculated volume, the calculation gives 32.63 Å³ per atom.


22.
Be4C: relaxed, PBE.

Lattice parameters (Å, degrees): 2.769 2.769 8.236 90.00 90.00 120.00
Element x y z (fractional)
Be 0.667 0.333 0.923
Be 0.333 0.667 0.077
Be 0.667 0.333 0.591
Be 0.333 0.667 0.409
C 0.000 0.000 0.000

The formation energy comes out at 0.5862 eV per atom. The value obtained for the relative energy among the computed polymorphs is 0.111 eV/atom. For the calculated volume, the calculation gives 10.93 Å³ per atom.


23.
Dy3YSe6: relaxed, PBE.

Lattice parameters (Å, degrees): 4.101 11.566 11.858 109.07 90.00 90.00
Element x y z (fractional)
Dy 0.750 0.432 0.832
Dy 0.250 0.568 0.168
Dy 0.750 0.683 0.502
Dy 0.250 0.317 0.498
Dy 0.750 0.159 0.083
Dy 0.250 0.841 0.917
Y 0.750 0.043 0.692
Y 0.250 0.957 0.308
Se 0.750 0.480 0.615
Se 0.250 0.520 0.385
Se 0.750 0.917 0.099
Se 0.250 0.083 0.901
Se 0.750 0.396 0.063
Se 0.250 0.604 0.937
Se 0.750 0.747 0.277
Se 0.250 0.253 0.723
Se 0.750 0.111 0.465
Se 0.250 0.889 0.535
Se 0.750 0.808 0.750
Se 0.250 0.192 0.250

The value obtained for the relative energy among the computed polymorphs is 0.000 eV/atom. As for the formation energy from raw total energies: -1.8653 eV per atom. For the calculated volume, the calculation gives 26.58 Å³ per atom.